## Al2PbSe (PBE-GGA)

Data for an optimized crystal structure of Al2PbSe.

space group: No. 69
polymorph energy (0 for the lowest one): 79 kJ/mol of formula units
ΔE_f (raw): 6.2 kJ per mole of atoms
calculated volume: 95.0 Å³ per cell
theoretical density: 5.94 Mg/m³
calculated total energy: -14.4 eV/cell

```
4
Lattice="-3.575 -1.526 -1.960 3.133 -4.455 2.039 -1.897 -1.581 3.592" Properties=species:S:1:pos:R:3 pbc="T T T"
Pb 0.618 -3.018 2.815
Al 0.000 0.000 0.000
Al -2.736 -1.553 0.816
Se -0.221 -2.990 0.039
```


## BaTl2Rh (PBE-GGA)

Data for an optimized crystal structure of BaTl2Rh.

space group: No. 123
formation energy: 0.054 eV/atom
calculated volume: 112.3 Å³ per cell
theoretical density: 9.60 Mg/m³
calculated total energy: -13.8 eV/cell

```
4
Lattice="4.546 0.000 0.000 0.000 4.546 0.000 0.000 0.000 5.433" Properties=species:S:1:pos:R:3 pbc="T T T"
Tl 0.000 2.273 0.000
Tl 2.273 0.000 0.000
Rh 0.000 0.000 2.716
Ba 2.273 2.273 2.716
```


## Pa2AlCu2 (PBE-GGA)

Data for an optimized crystal structure of Pa2AlCu2.

space group: No. 71
formation energy: -0.067 eV/atom
calculated volume: 95.2 Å³ per cell
theoretical density: 10.74 Mg/m³
calculated total energy: -31.3 eV/cell

```
5
Lattice="-0.090 -2.080 -2.732 -2.379 -5.059 1.771 -5.640 -1.225 -1.041" Properties=species:S:1:pos:R:3 pbc="T T T"
Cu -3.382 -4.973 -0.421
Cu -4.727 -3.391 -1.581
Pa -2.260 -2.214 -0.399
Pa -5.849 -6.150 -1.602
Al 0.000 0.000 0.000
```


## BiTeHI2 (PBE-GGA)

Data for an optimized crystal structure of BiTeHI2.

space group: No. 123
polymorph energy (0 for the lowest one): 45 kJ/mol of formula units
calculated volume: 233.5 Å³ per cell
theoretical density: 4.21 Mg/m³
calculated total energy: -11.0 eV/cell

```
5
Lattice="6.220 0.000 0.000 0.000 6.220 0.000 0.000 0.000 6.036" Properties=species:S:1:pos:R:3 pbc="T T T"
Bi 0.000 0.000 0.000
H 3.110 3.110 3.018
Te 0.000 0.000 3.018
I 3.110 0.000 0.000
I 0.000 3.110 0.000
```


## Li2InCl (PBE-GGA)

Data for an optimized crystal structure of Li2InCl.

space group: No. 119
polymorph energy (0 for the lowest one): 102 kJ/mol of formula units
ΔE_f (raw): -61.8 kJ per mole of atoms
calculated volume: 88.7 Å³ per cell
theoretical density: 3.07 Mg/m³
calculated total energy: -11.0 eV/cell

```
4
Lattice="-6.055 1.725 2.669 -6.471 -1.819 -1.256 6.476 -1.926 1.053" Properties=species:S:1:pos:R:3 pbc="T T T"
Li 0.000 0.000 0.000
Li -3.129 -1.896 0.252
In -2.921 -0.124 2.214
Cl -6.263 -0.047 0.707
```


## Ac4CeS5 (PBE-GGA)

Data for an optimized crystal structure of Ac4CeS5.

space group: No. 87
ΔE_f (raw): -192.7 kJ per mole of atoms
calculated volume: 273.2 Å³ per cell
theoretical density: 7.34 Mg/m³
calculated total energy: -63.0 eV/cell

```
10
Lattice="5.432 0.000 2.620 2.716 6.731 1.310 -0.208 0.000 7.372" Properties=species:S:1:pos:R:3 pbc="T T T"
S 2.158 4.108 2.481
S 2.721 0.000 1.313
S 5.793 2.623 8.827
S 4.298 1.297 4.985
S 3.653 5.434 6.323
Ac 1.561 1.365 3.720
Ac 3.106 2.672 7.456
Ac 6.390 5.366 7.588
Ac 4.844 4.059 3.852
Ce 0.005 0.000 0.003
```